Record 1
Computed, not measured: OsSeCl2 after structural relaxation at the PBE level of DFT.

Cell lengths 3.309, 3.508, 7.527 Å; angles 90.00, 90.00, 90.00 degrees
Space group Pmm2 (No. 25)
Asymmetric unit:
Os  0.000  0.000  0.000 [1 per cell]
Se  0.500  0.500  0.878 [1 per cell]
Cl  0.000  0.000  0.674 [1 per cell]
Cl  0.500  0.500  0.257 [1 per cell]

## Properties
- V: 21.9 Å³ per atom
- VASP energy: -4.08 eV/atom
- Total magnetization: 0.000 μB per atom
- Formation energy (no corrections): 50.4 kJ/mol of atoms
- Relative energy among the computed polymorphs: 637.0 meV per atom
- Fermi-level density of states: 0.496 states/eV/atom

---

Record 2
Computed, not measured: CaTi after structural relaxation at the PBE level of DFT.

Cell lengths 9.058, 9.058, 9.058 Å; angles 90.00, 90.00, 90.00 degrees
Space group Pm-3n (No. 223)
Asymmetric unit:
Ca  0.000  0.250  0.500 [6 per cell]
Ti  0.000  0.500  0.250 [6 per cell]

## Properties
- V: 61.9 Å³ per atom
- VASP energy: -2.81 eV/atom
- Total magnetization: 1.945 μB per atom
- Relative energy among the computed polymorphs: 1685.9 meV per atom
- DFT formation energy: 2139 meV per atom
- Fermi-level density of states: 4.400 states/eV/atom

---

Record 3
Computed, not measured: RbPa2Zn2O7 after structural relaxation at the PBE level of DFT.

Cell lengths 4.296, 4.434, 19.643 Å; angles 90.00, 90.00, 90.00 degrees
Space group Immm (No. 71)
Asymmetric unit:
Rb  0.000  0.000  0.000 [2 per cell]
Pa  0.000  0.000  0.387 [4 per cell]
Zn  0.000  0.500  0.264 [4 per cell]
O  0.000  0.000  0.268 [4 per cell]
O  0.000  0.000  0.500 [2 per cell]
O  0.000  0.500  0.109 [4 per cell]
O  0.000  0.500  0.375 [4 per cell]

## Properties
- V: 15.6 Å³ per atom
- VASP energy: -7.30 eV/atom
- Total magnetization: 0.043 μB per atom
- Formation energy (no corrections): -244.7 kJ/mol of atoms
- Fermi-level density of states: 0.373 states/eV/atom

---

Record 4
Computed, not measured: ThCuAu2 after structural relaxation at the PBE level of DFT.

Cell lengths 6.984, 6.984, 6.984 Å; angles 90.00, 90.00, 90.00 degrees
Space group Fm-3m (No. 225)
Asymmetric unit:
Th  0.000  0.000  0.000 [4 per cell]
Cu  0.000  0.000  0.500 [4 per cell]
Au  0.250  0.250  0.250 [8 per cell]

## Properties
- V: 21.3 Å³ per atom
- VASP energy: -4.93 eV/atom
- Total magnetization: 0.000 μB per atom
- Relative energy among the computed polymorphs: 98.7 meV per atom
- DFT formation energy: -415 meV per atom
- Fermi-level density of states: 0.757 states/eV/atom

---

Record 5
Computed, not measured: NdY2Te after structural relaxation at the PBE level of DFT.

Cell lengths 3.9202, 3.9202, 29.7298 Å; angles 90.00, 90.00, 120.00 degrees
Space group R3m (No. 160, hexagonal axes)
Asymmetric unit:
Nd  0.0000  0.0000  0.0000 [3 per cell]
Y  0.0000  0.0000  0.2367 [3 per cell]
Y  0.0000  0.0000  0.4294 [3 per cell]
Te  0.0000  0.0000  0.8331 [3 per cell]

## Properties
- V: 33.0 Å³ per atom
- VASP energy: -5.77 eV/atom
- Total magnetization: 0.055 μB per atom
- Formation energy (no corrections): -53.8 kJ/mol of atoms
- Relative energy among the computed polymorphs: 128.1 meV per atom
- Fermi-level density of states: 1.277 states/eV/atom

---

Record 6
Computed, not measured: SmEr3Fe34 after structural relaxation at the PBE level of DFT.

Cell lengths 8.4537, 8.4537, 8.2424 Å; angles 90.00, 90.00, 120.00 degrees
Space group P-6m2 (No. 187)
Asymmetric unit:
Sm  0.0000  0.0000  0.0000 [1 per cell]
Er  0.3333  0.6667  0.0000 [1 per cell]
Er  0.3333  0.6667  0.5000 [1 per cell]
Er  0.6667  0.3333  0.5000 [1 per cell]
Fe  0.0000  0.0000  0.3573 [2 per cell]
Fe  0.0018  0.5009  0.2659 [6 per cell]
Fe  0.0044  0.2996  0.5000 [6 per cell]
Fe  0.1685  0.3371  0.2357 [6 per cell]
Fe  0.3346  0.1673  0.2511 [6 per cell]
Fe  0.3734  0.0350  0.0000 [6 per cell]
Fe  0.6667  0.3333  0.1439 [2 per cell]

## Properties
- V: 13.4 Å³ per atom
- VASP energy: -8.07 eV/atom
- Total magnetization: 2.038 μB per atom
- DFT formation energy: -10 meV per atom
- Fermi-level density of states: 1.003 states/eV/atom

---

- What is the VASP energy in the third record?
  -7.30 eV/atom

---

- Number 1 is which compound?
  OsSeCl2

---

Please write out number 1 again, unchanged.
Computed, not measured: OsSeCl2 after structural relaxation at the PBE level of DFT.

Cell lengths 3.309, 3.508, 7.527 Å; angles 90.00, 90.00, 90.00 degrees
Space group Pmm2 (No. 25)
Asymmetric unit:
Os  0.000  0.000  0.000 [1 per cell]
Se  0.500  0.500  0.878 [1 per cell]
Cl  0.000  0.000  0.674 [1 per cell]
Cl  0.500  0.500  0.257 [1 per cell]

## Properties
- V: 21.9 Å³ per atom
- VASP energy: -4.08 eV/atom
- Total magnetization: 0.000 μB per atom
- Formation energy (no corrections): 50.4 kJ/mol of atoms
- Relative energy among the computed polymorphs: 637.0 meV per atom
- Fermi-level density of states: 0.496 states/eV/atom